First-principles (PBE+U) data for an optimized crystal structure of CsCeV2O8, as listed in Alexandria via LeMat-Bulk.

- DFT total energy (eV per atom) = -7.263
- symmetry = No. 147
- crystal system = trigonal
- ρ (kg/m³) = 3176
- total moment (μB/cell) = 1.086

Unit cell a=5.9610 b=5.9610 c=8.5432 alpha=90.00 beta=90.00 gamma=120.00
Fractional positions:
Cs (0.0000, 0.0000, 0.0000)
Ce (0.0000, 0.0000, 0.5000)
V (0.3333, 0.6667, 0.7261)
V (0.6667, 0.3333, 0.2739)
O (0.1677, 0.3438, 0.6599)
O (0.1761, 0.8323, 0.6599)
O (0.3333, 0.6667, 0.9230)
O (0.3438, 0.1761, 0.3401)
O (0.6562, 0.8239, 0.6599)
O (0.6667, 0.3333, 0.0770)
O (0.8239, 0.1677, 0.3401)
O (0.8323, 0.6562, 0.3401)



First-principles (PBE+U) data for an optimized crystal structure of Cs2CeVO6, as listed in Alexandria via LeMat-Bulk.

- DFT total energy (eV per atom) = -6.506
- symmetry = No. 164
- crystal system = trigonal
- ρ (kg/m³) = 4051
- total moment (μB/cell) = 0.967

Unit cell a=6.7217 b=6.7217 c=5.7925 alpha=90.00 beta=90.00 gamma=120.00
Fractional positions:
Cs (0.3333, 0.6667, 0.3700)
Cs (0.6667, 0.3333, 0.6300)
Ce (0.0000, 0.0000, 0.0000)
V (0.0000, 0.0000, 0.5000)
O (0.1275, 0.2550, 0.7072)
O (0.1275, 0.8725, 0.7072)
O (0.2550, 0.1275, 0.2928)
O (0.7450, 0.8725, 0.7072)
O (0.8725, 0.1275, 0.2928)
O (0.8725, 0.7450, 0.2928)



First-principles (PBE+U) data for an optimized crystal structure of CsCeWO6, as listed in Alexandria via LeMat-Bulk.

- DFT total energy (eV per atom) = -7.092
- symmetry = No. 149
- crystal system = trigonal
- ρ (kg/m³) = 4882
- total moment (μB/cell) = 1.066

Unit cell a=5.7551 b=5.7551 c=6.5540 alpha=90.00 beta=90.00 gamma=120.00
Fractional positions:
Cs (0.0000, 0.0000, 0.0000)
Ce (0.3333, 0.6667, 0.5000)
W (0.6667, 0.3333, 0.5000)
O (0.4135, 0.0360, 0.6716)
O (0.4135, 0.3775, 0.3284)
O (0.6225, 0.0360, 0.3284)
O (0.6225, 0.5865, 0.6716)
O (0.9640, 0.3775, 0.6716)
O (0.9640, 0.5865, 0.3284)